# 1
A relaxed ZrCo6Ge6 crystal. Source: Alexandria via LeMat-Bulk, functional GGA-PBE. Values from VASP.

Quantum ESPRESSO input file:
```
&SYSTEM
  ibrav = 0, nat = 13, ntyp = 3
/
ATOMIC_SPECIES
Ge 72.64 Ge.upf
Zr 91.22 Zr.upf
Co 58.93 Co.upf
CELL_PARAMETERS angstrom
-2.714 -3.812 -1.973
3.536 -5.053 -1.636
-1.500 -4.516 4.251
ATOMIC_POSITIONS crystal
Ge 0.335 0.165 0.165
Ge 0.667 0.333 0.333
Zr 0.000 0.000 0.000
Ge 0.000 0.659 0.341
Ge 0.665 0.835 0.835
Co 0.500 0.253 0.747
Co 0.000 0.000 0.500
Co 0.500 0.500 0.000
Ge 0.000 0.341 0.659
Co 0.500 0.747 0.253
Co 0.500 0.000 0.500
Co 0.000 0.500 0.000
Ge 0.333 0.667 0.667
```

# 2
A relaxed Zr2Co5Ge4 crystal. Source: Alexandria via LeMat-Bulk, functional GGA-PBE. Values from VASP.

Quantum ESPRESSO input file:
```
&SYSTEM
  ibrav = 0, nat = 11, ntyp = 3
/
ATOMIC_SPECIES
Ge 72.64 Ge.upf
Co 58.93 Co.upf
Zr 91.22 Zr.upf
CELL_PARAMETERS angstrom
-4.243 2.471 1.660
-2.575 -1.747 4.110
1.839 5.229 5.008
ATOMIC_POSITIONS crystal
Ge 0.214 0.307 0.264
Co 0.250 0.500 0.500
Zr 0.127 0.000 0.745
Co 0.000 0.500 0.000
Ge 0.786 0.693 0.736
Ge 0.522 0.693 0.264
Co 0.500 0.000 0.000
Co 0.750 0.500 0.500
Co 0.500 0.500 0.000
Ge 0.478 0.307 0.736
Zr 0.873 0.000 0.255
```

Number 1: formation energy -4.32 eV per formula unit, electronic total energy -6.40 eV/atom. Number 2: formation energy -3.83 eV per formula unit, electronic total energy -6.81 eV/atom.